No. 1
# GGA-PBE Tb3CdGa3, relaxed
# - N(E_F): 19.251 states/eV per cell
# - Total energy: -3.9722 eV/atom
data_Tb3CdGa3
_cell_length_a 11.091
_cell_length_b 4.455
_cell_length_c 14.268
_cell_angle_alpha 90.00
_cell_angle_beta 110.00
_cell_angle_gamma 90.00
_symmetry_space_group_name_H-M 'C 1 2/m 1'
_symmetry_Int_Tables_number 12
loop_
_symmetry_equiv_pos_as_xyz
'x,y,z'
'-x,-y,-z'
'-x,y,-z'
'x,-y,z'
'x+1/2,y+1/2,z'
'-x+1/2,-y+1/2,-z'
'-x+1/2,y+1/2,-z'
'x+1/2,-y+1/2,z'
loop_
_atom_site_label
_atom_site_type_symbol
_atom_site_fract_x
_atom_site_fract_y
_atom_site_fract_z
Tb1 Tb 0.019 0.000 0.372
Tb2 Tb 0.106 0.000 0.924
Tb3 Tb 0.235 0.000 0.219
Cd1 Cd 0.238 0.500 0.401
Ga1 Ga 0.023 0.500 0.226
Ga2 Ga 0.111 0.500 0.074
Ga3 Ga 0.118 0.500 0.554



No. 2
# GGA-PBE Tb4CdGa2, relaxed
# - Polymorph energy (0 for the lowest one): 0.000 eV per atom
# - N(E_F): 18.464 states/eV per cell
data_Tb4CdGa2
_cell_length_a 5.0982
_cell_length_b 5.0982
_cell_length_c 24.5632
_cell_angle_alpha 90.00
_cell_angle_beta 90.00
_cell_angle_gamma 120.00
_symmetry_space_group_name_H-M 'R -3 m'
_symmetry_Int_Tables_number 166
_symmetry_space_group_name_Hall '-R 3 2"'
loop_
_atom_site_label
_atom_site_type_symbol
_atom_site_fract_x
_atom_site_fract_y
_atom_site_fract_z
Tb1 Tb 0.0000 0.0000 0.1166
Tb2 Tb 0.0000 0.0000 0.3692
Cd1 Cd 0.0000 0.0000 0.5000
Ga1 Ga 0.0000 0.0000 0.2474



No. 3
# GGA-PBE Tb2CdGa3, relaxed
# - N(E_F): 22.626 states/eV per cell
# - Total energy: -3.7543 eV/atom
data_Tb2CdGa3
_cell_length_a 7.314
_cell_length_b 9.089
_cell_length_c 15.634
_cell_angle_alpha 90.00
_cell_angle_beta 90.00
_cell_angle_gamma 90.00
_symmetry_space_group_name_H-M 'F m m m'
_symmetry_Int_Tables_number 69
_symmetry_space_group_name_Hall '-F 2 2'
loop_
_atom_site_label
_atom_site_type_symbol
_atom_site_fract_x
_atom_site_fract_y
_atom_site_fract_z
Tb1 Tb 0.249 0.000 0.000
Tb2 Tb 0.250 0.250 0.250
Cd1 Cd 0.000 0.000 0.334
Ga1 Ga 0.000 0.000 0.163
Ga2 Ga 0.000 0.245 0.082



No. 4
# GGA-PBE Tb8CdGa2, relaxed
# - N(E_F): 22.951 states/eV per cell
# - Total energy: -4.2354 eV/atom
data_Tb8CdGa2
_cell_length_a 17.855
_cell_length_b 5.001
_cell_length_c 7.157
_cell_angle_alpha 90.00
_cell_angle_beta 103.50
_cell_angle_gamma 90.00
_symmetry_space_group_name_H-M 'C 1 2/m 1'
_symmetry_Int_Tables_number 12
loop_
_symmetry_equiv_pos_as_xyz
'x,y,z'
'-x,-y,-z'
'-x,y,-z'
'x,-y,z'
'x+1/2,y+1/2,z'
'-x+1/2,-y+1/2,-z'
'-x+1/2,y+1/2,-z'
'x+1/2,-y+1/2,z'
loop_
_atom_site_label
_atom_site_type_symbol
_atom_site_fract_x
_atom_site_fract_y
_atom_site_fract_z
Tb1 Tb 0.031 0.000 0.250
Tb2 Tb 0.093 0.500 0.963
Tb3 Tb 0.168 0.500 0.451
Tb4 Tb 0.195 0.000 0.801
Cd1 Cd 0.000 0.500 0.500
Ga1 Ga 0.197 0.000 0.219